1.
The following is a DFT calculation (GGA-PBE) of an optimized crystal structure of RbCd2Sb.

Properties
calculated total energy: -1.83 eV/atom

Cell lengths 5.1695, 5.1695, 19.0089 Å; angles 90.00, 90.00, 120.00 degrees
Space group R-3m (No. 166, hexagonal axes)
Asymmetric unit:
Rb: 0.0000 0.0000 0.0000 x3
Cd: 0.0000 0.0000 0.2093 x6
Sb: 0.0000 0.0000 0.5000 x3

=====

2.
The following is a DFT calculation (GGA-PBE) of an optimized crystal structure of YErCd14.

Properties
calculated total energy: -1.63 eV/atom
ΔE_f: -210 kJ/mol of formula units

Cell lengths 6.580, 6.580, 8.514 Å; angles 90.00, 90.00, 90.00 degrees
Space group P4/mmm (No. 123)
Asymmetric unit:
Y: 0.000 0.000 0.000 x1
Er: 0.500 0.500 0.000 x1
Cd: 0.000 0.000 0.500 x1
Cd: 0.000 0.500 0.000 x2
Cd: 0.000 0.500 0.500 x2
Cd: 0.251 0.251 0.257 x8
Cd: 0.500 0.500 0.500 x1

=====

3.
The following is a DFT calculation (GGA-PBE) of an optimized crystal structure of LiPrP2Pd5.

Properties
calculated total energy: -5.53 eV/atom
ΔE_f: -603 kJ/mol of formula units

Cell lengths 4.188, 4.188, 8.748 Å; angles 90.00, 90.00, 90.00 degrees
Space group P4/mmm (No. 123)
Asymmetric unit:
Li: 0.000 0.000 0.000 x1
Pr: 0.000 0.000 0.500 x1
P: 0.500 0.500 0.121 x2
Pd: 0.000 0.500 0.251 x4
Pd: 0.500 0.500 0.500 x1

=====

4.
The following is a DFT calculation (GGA-PBE) of an optimized crystal structure of Nb3IrO.

Properties
calculated total energy: -9.60 eV/atom

Cell lengths 4.224, 4.224, 4.224 Å; angles 90.00, 90.00, 90.00 degrees
Space group Pm-3m (No. 221)
Asymmetric unit:
Nb: 0.000 0.000 0.500 x3
Ir: 0.500 0.500 0.500 x1
O: 0.000 0.000 0.000 x1